No. 1
# Al3Zn2Ag7 | Alexandria via LeMat-Bulk | PBE | optimized geometry
data_Al3Zn2Ag7
_chemical_formula_sum 'Al3 Zn2 Ag7'
_space_group_name_H-M_alt 'P 1'
_space_group_IT_number 1
_space_group_name_Hall 'P 1'
_cell_length_a 2.867
_cell_length_b 5.263
_cell_length_c 14.145
_cell_angle_alpha 74.53
_cell_angle_beta 90.00
_cell_angle_gamma 90.00
loop_
_atom_site_label
_atom_site_fract_x
_atom_site_fract_y
_atom_site_fract_z
Ag1 0.500 0.961 0.820
Ag2 0.000 0.461 0.836
Ag3 0.500 0.039 0.180
Ag4 0.500 0.759 0.489
Ag5 0.500 0.241 0.511
Ag6 0.000 0.000 0.000
Ag7 0.000 0.539 0.164
Zn1 0.500 0.416 0.673
Zn2 0.500 0.584 0.327
Al1 0.000 0.109 0.341
Al2 0.000 0.891 0.659
Al3 0.500 0.500 0.000
# Energy (eV/atom): -2.80


No. 2
# DySn4Rh2 | Alexandria via LeMat-Bulk | PBE | optimized geometry
data_DySn4Rh2
_chemical_formula_sum 'Dy4 Sn16 Rh8'
_space_group_name_H-M_alt 'P 1'
_space_group_IT_number 1
_space_group_name_Hall 'P 1'
_cell_length_a 4.449
_cell_length_b 7.290
_cell_length_c 18.418
_cell_angle_alpha 90.00
_cell_angle_beta 90.00
_cell_angle_gamma 90.00
loop_
_atom_site_label
_atom_site_fract_x
_atom_site_fract_y
_atom_site_fract_z
Rh1 0.750 0.023 0.215
Rh2 0.250 0.523 0.285
Rh3 0.750 0.251 0.965
Rh4 0.250 0.751 0.535
Rh5 0.750 0.249 0.465
Rh6 0.250 0.749 0.035
Rh7 0.250 0.977 0.785
Rh8 0.750 0.477 0.715
Sn1 0.750 0.978 0.067
Sn2 0.750 0.870 0.466
Sn3 0.750 0.771 0.806
Sn4 0.250 0.805 0.182
Sn5 0.750 0.729 0.306
Sn6 0.750 0.305 0.318
Sn7 0.250 0.695 0.682
Sn8 0.250 0.229 0.194
Sn9 0.250 0.130 0.534
Sn10 0.750 0.630 0.966
Sn11 0.250 0.370 0.034
Sn12 0.250 0.022 0.933
Sn13 0.250 0.271 0.694
Sn14 0.750 0.522 0.567
Sn15 0.750 0.195 0.818
Sn16 0.250 0.478 0.433
Dy1 0.250 0.492 0.857
Dy2 0.750 0.992 0.643
Dy3 0.750 0.508 0.143
Dy4 0.250 0.008 0.357
# Energy (eV/atom): -5.64


No. 3
# TaCdTe2 | Alexandria via LeMat-Bulk | PBE | optimized geometry
data_TaCdTe2
_chemical_formula_sum 'Ta1 Cd1 Te2'
_space_group_name_H-M_alt 'P 1'
_space_group_IT_number 1
_space_group_name_Hall 'P 1'
_cell_length_a 5.245
_cell_length_b 3.874
_cell_length_c 5.303
_cell_angle_alpha 68.44
_cell_angle_beta 90.00
_cell_angle_gamma 90.00
loop_
_atom_site_label
_atom_site_fract_x
_atom_site_fract_y
_atom_site_fract_z
Te1 0.000 0.821 0.982
Te2 0.500 0.212 0.199
Cd1 0.000 0.537 0.554
Ta1 0.500 0.930 0.765
# Energy (eV/atom): -4.59


No. 4
# Y2AgGeO6 | Alexandria via LeMat-Bulk | PBE | optimized geometry
data_Y2AgGeO6
_chemical_formula_sum 'Y2 Ag1 Ge1 O6'
_space_group_name_H-M_alt 'P 1'
_space_group_IT_number 1
_space_group_name_Hall 'P 1'
_cell_length_a 4.961
_cell_length_b 5.338
_cell_length_c 5.338
_cell_angle_alpha 90.00
_cell_angle_beta 90.00
_cell_angle_gamma 90.00
loop_
_atom_site_label
_atom_site_fract_x
_atom_site_fract_y
_atom_site_fract_z
Y1 0.992 0.500 0.000
Y2 0.992 0.000 0.500
O1 0.738 0.229 0.229
O2 0.738 0.229 0.771
O3 0.239 0.000 0.000
O4 0.738 0.771 0.229
O5 0.118 0.500 0.500
O6 0.738 0.771 0.771
Ge1 0.598 0.000 0.000
Ag1 0.557 0.500 0.500
# Energy (eV/atom): -7.04


No. 5
# La4ScSn2 | Alexandria via LeMat-Bulk | PBE | optimized geometry
data_La4ScSn2
_chemical_formula_sum 'La4 Sc1 Sn2'
_space_group_name_H-M_alt 'P 1'
_space_group_IT_number 1
_space_group_name_Hall 'P 1'
_cell_length_a 4.846
_cell_length_b 6.874
_cell_length_c 6.874
_cell_angle_alpha 98.56
_cell_angle_beta 90.00
_cell_angle_gamma 90.00
loop_
_atom_site_label
_atom_site_fract_x
_atom_site_fract_y
_atom_site_fract_z
La1 0.000 0.797 0.797
La2 0.500 0.000 0.500
La3 0.000 0.203 0.203
La4 0.500 0.500 0.000
Sc1 0.500 0.500 0.500
Sn1 0.000 0.297 0.703
Sn2 0.000 0.703 0.297
# Energy (eV/atom): -5.33


No. 6
# TiNb2GaN | Alexandria via LeMat-Bulk | PBE | optimized geometry
data_TiNb2GaN
_chemical_formula_sum 'Ti1 Nb2 Ga1 N1'
_space_group_name_H-M_alt 'P 1'
_space_group_IT_number 1
_space_group_name_Hall 'P 1'
_cell_length_a 4.356
_cell_length_b 4.356
_cell_length_c 3.933
_cell_angle_alpha 90.00
_cell_angle_beta 90.00
_cell_angle_gamma 90.00
loop_
_atom_site_label
_atom_site_fract_x
_atom_site_fract_y
_atom_site_fract_z
Nb1 0.500 0.000 0.000
Nb2 0.000 0.500 0.000
Ga1 0.500 0.500 0.500
N1 0.000 0.000 0.000
Ti1 0.000 0.000 0.500
# Energy (eV/atom): -8.54


No. 7
# BeRe4As | Alexandria via LeMat-Bulk | PBE | optimized geometry
data_BeRe4As
_chemical_formula_sum 'Be1 Re4 As1'
_space_group_name_H-M_alt 'P 1'
_space_group_IT_number 1
_space_group_name_Hall 'P 1'
_cell_length_a 5.193
_cell_length_b 5.193
_cell_length_c 5.193
_cell_angle_alpha 60.00
_cell_angle_beta 60.00
_cell_angle_gamma 60.00
loop_
_atom_site_label
_atom_site_fract_x
_atom_site_fract_y
_atom_site_fract_z
Re1 0.625 0.625 0.125
Re2 0.625 0.125 0.625
Re3 0.125 0.625 0.625
Re4 0.625 0.625 0.625
As1 0.250 0.250 0.250
Be1 0.000 0.000 0.000
# Energy (eV/atom): -8.86


No. 8
# LuTh2Rh | Alexandria via LeMat-Bulk | PBE | optimized geometry
data_LuTh2Rh
_chemical_formula_sum 'Lu1 Th2 Rh1'
_space_group_name_H-M_alt 'P 1'
_space_group_IT_number 1
_space_group_name_Hall 'P 1'
_cell_length_a 3.684
_cell_length_b 3.684
_cell_length_c 7.949
_cell_angle_alpha 90.00
_cell_angle_beta 90.00
_cell_angle_gamma 90.00
loop_
_atom_site_label
_atom_site_fract_x
_atom_site_fract_y
_atom_site_fract_z
Lu1 0.500 0.500 0.500
Th1 0.000 0.000 0.794
Th2 0.000 0.000 0.206
Rh1 0.500 0.500 0.000
# Energy (eV/atom): -6.99


No. 9
# SbAsPt3 | Alexandria via LeMat-Bulk | PBE | optimized geometry
data_SbAsPt3
_chemical_formula_sum 'Sb1 As1 Pt3'
_space_group_name_H-M_alt 'P 1'
_space_group_IT_number 1
_space_group_name_Hall 'P 1'
_cell_length_a 4.725
_cell_length_b 4.725
_cell_length_c 4.725
_cell_angle_alpha 90.00
_cell_angle_beta 90.00
_cell_angle_gamma 90.00
loop_
_atom_site_label
_atom_site_fract_x
_atom_site_fract_y
_atom_site_fract_z
Pt1 0.000 0.500 0.000
Pt2 0.000 0.000 0.500
Pt3 0.500 0.000 0.000
Sb1 0.500 0.500 0.500
As1 0.000 0.000 0.000
# Energy (eV/atom): -5.05


No. 10
# TbPmCdOs | Alexandria via LeMat-Bulk | PBE | optimized geometry
data_TbPmCdOs
_chemical_formula_sum 'Tb1 Pm1 Cd1 Os1'
_space_group_name_H-M_alt 'P 1'
_space_group_IT_number 1
_space_group_name_Hall 'P 1'
_cell_length_a 3.489
_cell_length_b 3.489
_cell_length_c 7.954
_cell_angle_alpha 90.00
_cell_angle_beta 90.00
_cell_angle_gamma 90.00
loop_
_atom_site_label
_atom_site_fract_x
_atom_site_fract_y
_atom_site_fract_z
Os1 0.000 0.000 0.564
Tb1 0.500 0.500 0.358
Pm1 0.500 0.500 0.783
Cd1 0.000 0.000 0.079
# Energy (eV/atom): -5.61


No. 11
# Li2Pm2Al5Pd | Alexandria via LeMat-Bulk | PBE | optimized geometry
data_Li2Pm2Al5Pd
_chemical_formula_sum 'Li4 Pm4 Al10 Pd2'
_space_group_name_H-M_alt 'P 1'
_space_group_IT_number 1
_space_group_name_Hall 'P 1'
_cell_length_a 3.880
_cell_length_b 9.867
_cell_length_c 9.867
_cell_angle_alpha 90.00
_cell_angle_beta 90.00
_cell_angle_gamma 90.00
loop_
_atom_site_label
_atom_site_fract_x
_atom_site_fract_y
_atom_site_fract_z
Pm1 0.000 0.684 0.184
Pm2 0.000 0.816 0.684
Pm3 0.000 0.184 0.316
Pm4 0.000 0.316 0.816
Li1 0.000 0.883 0.383
Li2 0.000 0.117 0.617
Li3 0.000 0.383 0.117
Li4 0.000 0.617 0.883
Al1 0.500 0.500 0.000
Al2 0.500 0.549 0.691
Al3 0.500 0.451 0.309
Al4 0.500 0.049 0.809
Al5 0.500 0.951 0.191
Al6 0.500 0.809 0.951
Al7 0.500 0.000 0.500
Al8 0.500 0.691 0.451
Al9 0.500 0.191 0.049
Al10 0.500 0.309 0.549
Pd1 0.000 0.000 0.000
Pd2 0.000 0.500 0.500
# Energy (eV/atom): -4.09


No. 12
# PrHoHg3 | Alexandria via LeMat-Bulk | PBE | optimized geometry
data_PrHoHg3
_chemical_formula_sum 'Pr2 Ho2 Hg6'
_space_group_name_H-M_alt 'P 1'
_space_group_IT_number 1
_space_group_name_Hall 'P 1'
_cell_length_a 3.610
_cell_length_b 4.978
_cell_length_c 14.763
_cell_angle_alpha 90.00
_cell_angle_beta 97.02
_cell_angle_gamma 90.00
loop_
_atom_site_label
_atom_site_fract_x
_atom_site_fract_y
_atom_site_fract_z
Hg1 0.475 0.250 0.951
Hg2 0.684 0.250 0.368
Hg3 0.376 0.250 0.752
Hg4 0.316 0.750 0.632
Hg5 0.525 0.750 0.049
Hg6 0.624 0.750 0.248
Ho1 0.790 0.250 0.579
Ho2 0.210 0.750 0.421
Pr1 0.924 0.750 0.848
Pr2 0.076 0.250 0.152
# Energy (eV/atom): -2.48